Record 1
The following is a PBE calculation of an optimized crystal structure of Zn2TcBr, from Alexandria.

Unit cell a=2.964 b=4.334 c=12.730 alpha=90.00 beta=90.00 gamma=90.00
Element x y z (fractional)
1 Zn 0.000 0.000 0.000
2 Zn 0.000 0.500 0.132
3 Zn 0.500 0.000 0.632
4 Zn 0.500 0.500 0.500
5 Tc 0.000 0.000 0.466
6 Tc 0.500 0.500 0.966
7 Br 0.000 0.500 0.804
8 Br 0.500 0.000 0.304

Values from the calculation:
ΔE_f (raw)	20.07	kJ per mole of atoms
raw total energy	-27.5	eV for the cell shown
offset from the most stable computed form	0	meV/atom

=====

Record 2
The following is a PBE calculation of an optimized crystal structure of Zn2TcBr, from Alexandria.

Unit cell a=3.185 b=3.185 c=7.198 alpha=90.00 beta=90.00 gamma=90.00
Element x y z (fractional)
1 Zn 0.000 0.000 0.209
2 Zn 0.000 0.000 0.791
3 Tc 0.500 0.500 0.000
4 Br 0.500 0.500 0.500

Values from the calculation:
ΔE_f (raw)	31.86	kJ per mole of atoms
raw total energy	-13.3	eV for the cell shown
offset from the most stable computed form	122	meV/atom

=====

Record 3
The following is a PBE calculation of an optimized crystal structure of ZnTcBr2, from Alexandria.

Unit cell a=6.793 b=7.720 c=4.827 alpha=90.00 beta=128.08 gamma=90.00
Element x y z (fractional)
1 Zn 0.000 0.000 0.000
2 Zn 0.500 0.500 0.000
3 Tc 0.000 0.500 0.000
4 Tc 0.500 0.000 0.000
5 Br 0.250 0.250 0.500
6 Br 0.250 0.750 0.500
7 Br 0.750 0.250 0.500
8 Br 0.750 0.750 0.500

Values from the calculation:
ΔE_f (raw)	59.65	kJ per mole of atoms
raw total energy	-25.0	eV for the cell shown
offset from the most stable computed form	832	meV/atom

=====

Record 4
The following is a PBE calculation of an optimized crystal structure of Zn2Tc2Br, from Alexandria.

Unit cell a=3.535 b=3.535 c=15.484 alpha=90.00 beta=90.00 gamma=90.00
Element x y z (fractional)
1 Zn 0.000 0.000 0.116
2 Zn 0.000 0.000 0.884
3 Zn 0.500 0.500 0.384
4 Zn 0.500 0.500 0.616
5 Tc 0.000 0.500 0.250
6 Tc 0.000 0.500 0.750
7 Tc 0.500 0.000 0.250
8 Tc 0.500 0.000 0.750
9 Br 0.000 0.000 0.500
10 Br 0.500 0.500 0.000

Values from the calculation:
ΔE_f (raw)	40.03	kJ per mole of atoms
raw total energy	-45.8	eV for the cell shown
offset from the most stable computed form	0	meV/atom

=====

Record 5
The following is a PBE calculation of an optimized crystal structure of Zn2TcBr, from Alexandria.

Unit cell a=8.949 b=3.005 c=6.452 alpha=90.00 beta=101.99 gamma=90.00
Element x y z (fractional)
1 Zn 0.000 0.000 0.000
2 Zn 0.237 0.000 0.787
3 Zn 0.500 0.500 0.000
4 Zn 0.737 0.500 0.787
5 Tc 0.244 0.500 0.112
6 Tc 0.744 0.000 0.112
7 Br 0.336 0.000 0.432
8 Br 0.836 0.500 0.432

Values from the calculation:
ΔE_f (raw)	20.15	kJ per mole of atoms
raw total energy	-27.5	eV for the cell shown
offset from the most stable computed form	1	meV/atom

=====

Record 6
The following is a PBE calculation of an optimized crystal structure of ZnTcBr2, from Alexandria.

Unit cell a=16.779 b=3.843 c=7.076 alpha=90.00 beta=103.80 gamma=90.00
Element x y z (fractional)
1 Zn 0.000 0.000 0.000
2 Zn 0.104 0.500 0.983
3 Zn 0.500 0.500 0.000
4 Zn 0.604 0.000 0.983
5 Tc 0.079 0.000 0.442
6 Tc 0.149 0.000 0.219
7 Tc 0.579 0.500 0.442
8 Tc 0.649 0.500 0.219
9 Br 0.160 0.500 0.669
10 Br 0.259 0.500 0.264
11 Br 0.406 0.000 0.854
12 Br 0.476 0.000 0.376
13 Br 0.660 0.000 0.669
14 Br 0.759 0.000 0.264
15 Br 0.906 0.500 0.854
16 Br 0.976 0.500 0.376

Values from the calculation:
ΔE_f (raw)	-12.22	kJ per mole of atoms
raw total energy	-62.0	eV for the cell shown
offset from the most stable computed form	87	meV/atom

=====

Record 7
The following is a PBE calculation of an optimized crystal structure of ZnTcBr2, from Alexandria.

Unit cell a=17.808 b=3.707 c=7.642 alpha=90.00 beta=104.76 gamma=90.00
Element x y z (fractional)
1 Zn 0.000 0.000 0.000
2 Zn 0.022 0.500 0.269
3 Zn 0.500 0.500 0.000
4 Zn 0.522 0.000 0.269
5 Tc 0.411 0.500 0.225
6 Tc 0.490 0.500 0.486
7 Tc 0.911 0.000 0.225
8 Tc 0.990 0.000 0.486
9 Br 0.098 0.500 0.987
10 Br 0.131 0.000 0.488
11 Br 0.307 0.000 0.187
12 Br 0.403 0.500 0.698
13 Br 0.598 0.000 0.987
14 Br 0.631 0.500 0.488
15 Br 0.807 0.500 0.187
16 Br 0.903 0.000 0.698

Values from the calculation:
ΔE_f (raw)	-15.69	kJ per mole of atoms
raw total energy	-62.5	eV for the cell shown
offset from the most stable computed form	51	meV/atom

=====

Record 8
The following is a PBE calculation of an optimized crystal structure of Zn2TcBr, from Alexandria.

Unit cell a=6.491 b=6.491 c=6.491 alpha=90.00 beta=90.00 gamma=90.00
Element x y z (fractional)
1 Zn 0.000 0.000 0.000
2 Zn 0.000 0.500 0.500
3 Zn 0.250 0.250 0.250
4 Zn 0.250 0.750 0.750
5 Zn 0.500 0.000 0.500
6 Zn 0.500 0.500 0.000
7 Zn 0.750 0.250 0.750
8 Zn 0.750 0.750 0.250
9 Tc 0.250 0.250 0.750
10 Tc 0.250 0.750 0.250
11 Tc 0.750 0.250 0.250
12 Tc 0.750 0.750 0.750
13 Br 0.000 0.000 0.500
14 Br 0.000 0.500 0.000
15 Br 0.500 0.000 0.000
16 Br 0.500 0.500 0.500

Values from the calculation:
ΔE_f (raw)	70.01	kJ per mole of atoms
raw total energy	-46.7	eV for the cell shown
offset from the most stable computed form	518	meV/atom

=====

Record 9
The following is a PBE calculation of an optimized crystal structure of Zn2TcBr, from Alexandria.

Unit cell a=3.075 b=4.515 c=9.803 alpha=90.00 beta=90.00 gamma=90.00
Element x y z (fractional)
1 Zn 0.000 0.000 0.229
2 Zn 0.000 0.000 0.771
3 Zn 0.500 0.500 0.271
4 Zn 0.500 0.500 0.729
5 Tc 0.000 0.500 0.500
6 Tc 0.500 0.000 0.000
7 Br 0.000 0.500 0.000
8 Br 0.500 0.000 0.500

Values from the calculation:
ΔE_f (raw)	51.14	kJ per mole of atoms
raw total energy	-24.9	eV for the cell shown
offset from the most stable computed form	322	meV/atom

=====

Record 10
The following is a PBE calculation of an optimized crystal structure of ZnTcBr2, from Alexandria.

Unit cell a=3.343 b=7.705 c=9.416 alpha=90.00 beta=90.00 gamma=90.00
Element x y z (fractional)
1 Zn 0.000 0.000 0.000
2 Zn 0.500 0.500 0.500
3 Tc 0.000 0.500 0.726
4 Tc 0.500 0.000 0.226
5 Br 0.000 0.000 0.422
6 Br 0.000 0.500 0.300
7 Br 0.500 0.000 0.800
8 Br 0.500 0.500 0.922

Values from the calculation:
ΔE_f (raw)	31.26	kJ per mole of atoms
raw total energy	-27.4	eV for the cell shown
offset from the most stable computed form	538	meV/atom

=====

Record 11
The following is a PBE calculation of an optimized crystal structure of ZnTcBr2, from Alexandria.

Unit cell a=5.123 b=5.123 c=3.464 alpha=90.00 beta=90.00 gamma=90.00
Element x y z (fractional)
1 Zn 0.000 0.000 0.000
2 Tc 0.500 0.500 0.000
3 Br 0.000 0.500 0.500
4 Br 0.500 0.000 0.500

Values from the calculation:
ΔE_f (raw)	68.31	kJ per mole of atoms
raw total energy	-12.2	eV for the cell shown
offset from the most stable computed form	922	meV/atom

=====

Record 12
The following is a PBE calculation of an optimized crystal structure of Zn2TcBr, from Alexandria.

Unit cell a=5.513 b=8.081 c=2.982 alpha=90.00 beta=90.00 gamma=90.00
Element x y z (fractional)
1 Zn 0.250 0.250 0.000
2 Zn 0.250 0.750 0.000
3 Zn 0.750 0.250 0.000
4 Zn 0.750 0.750 0.000
5 Tc 0.000 0.000 0.500
6 Tc 0.500 0.500 0.500
7 Br 0.000 0.500 0.500
8 Br 0.500 0.000 0.500

Values from the calculation:
ΔE_f (raw)	41.09	kJ per mole of atoms
raw total energy	-25.8	eV for the cell shown
offset from the most stable computed form	218	meV/atom

=====

Record 13
The following is a PBE calculation of an optimized crystal structure of Zn2Tc2Br, from Alexandria.

Unit cell a=3.728 b=3.728 c=12.336 alpha=90.00 beta=90.00 gamma=90.00
Element x y z (fractional)
1 Zn 0.000 0.500 0.250
2 Zn 0.000 0.500 0.750
3 Zn 0.500 0.000 0.250
4 Zn 0.500 0.000 0.750
5 Tc 0.000 0.000 0.095
6 Tc 0.000 0.000 0.905
7 Tc 0.500 0.500 0.405
8 Tc 0.500 0.500 0.595
9 Br 0.000 0.000 0.500
10 Br 0.500 0.500 0.000

Values from the calculation:
ΔE_f (raw)	75.92	kJ per mole of atoms
raw total energy	-42.0	eV for the cell shown
offset from the most stable computed form	372	meV/atom

=====

Record 14
The following is a PBE calculation of an optimized crystal structure of ZnTcBr2, from Alexandria.

Unit cell a=3.775 b=3.330 c=7.975 alpha=90.00 beta=103.30 gamma=90.00
Element x y z (fractional)
1 Zn 0.000 0.000 0.000
2 Tc 0.546 0.500 0.095
3 Br 0.390 0.500 0.771
4 Br 0.663 0.000 0.336

Values from the calculation:
ΔE_f (raw)	-1.40	kJ per mole of atoms
raw total energy	-15.0	eV for the cell shown
offset from the most stable computed form	199	meV/atom